# 1
# NiIrN2F

A relaxed NiIrN2F crystal (GGA-PBEsol, Alexandria via LeMat-Bulk).

Output
Raw formation energy   0.91 eV per atom

Cell lengths 3.6437, 3.6437, 5.7131 Å; angles 90.00, 90.00, 90.00 degrees
With the nearest neighbours (Å) after each atom.
Atoms (fractional coordinates):
F (0.0000, 0.0000, 0.5000)  4 Ni 2.58, 2 Ir 2.86
Ir (0.0000, 0.0000, 0.0000)  4 N 1.82
N (0.5000, 0.0000, 0.0000)  2 Ir 1.82
N (0.0000, 0.5000, 0.0000)  2 Ir 1.82
Ni (0.5000, 0.5000, 0.5000)  4 F 2.58

---

# 2
# IrNO2F

A relaxed IrNO2F crystal (GGA-PBEsol, Alexandria via LeMat-Bulk).

Output
Raw formation energy   0.23 eV per atom

Cell lengths 3.7332, 3.7332, 3.7619 Å; angles 90.00, 90.00, 90.00 degrees
With the nearest neighbours (Å) after each atom.
Atoms (fractional coordinates):
N (0.0000, 0.0000, 0.5000)  2 Ir 1.88
O (0.5000, 0.0000, 0.0000)  2 Ir 1.87
O (0.0000, 0.5000, 0.0000)  2 Ir 1.87
Ir (0.0000, 0.0000, 0.0000)  4 O 1.87, 2 N 1.88
F (0.5000, 0.5000, 0.5000)  4 N 2.64, 8 O 2.65

---

# 3
# PIrN2F

A relaxed PIrN2F crystal (GGA-PBEsol, Alexandria via LeMat-Bulk).

Output
Raw formation energy   0.94 eV per atom

Cell lengths 3.8497, 3.8497, 4.0596 Å; angles 90.00, 90.00, 90.00 degrees
With the nearest neighbours (Å) after each atom.
Atoms (fractional coordinates):
N (0.5000, 0.0000, 0.0000)  2 Ir 1.92
N (0.0000, 0.5000, 0.0000)  2 Ir 1.92
P (0.5000, 0.5000, 0.5000)  4 F 2.72, 8 N 2.80
Ir (0.0000, 0.0000, 0.0000)  4 N 1.92, 2 F 2.03
F (0.0000, 0.0000, 0.5000)  2 Ir 2.03

---

# 4
# ReIrN2F

A relaxed ReIrN2F crystal (GGA-PBEsol, Alexandria via LeMat-Bulk).

Output
Raw formation energy   0.90 eV per atom

Cell lengths 3.8927, 3.8927, 3.8685 Å; angles 90.00, 90.00, 90.00 degrees
With the nearest neighbours (Å) after each atom.
Atoms (fractional coordinates):
N (0.0000, 0.5000, 0.0000)  2 Re 1.95
N (0.5000, 0.0000, 0.0000)  2 Re 1.95
Re (0.0000, 0.0000, 0.0000)  2 F 1.93, 4 N 1.95
F (0.0000, 0.0000, 0.5000)  2 Re 1.93
Ir (0.5000, 0.5000, 0.5000)  8 N 2.74, 4 F 2.75

---

# 5
# ReIrN2F

A relaxed ReIrN2F crystal (GGA-PBEsol, Alexandria via LeMat-Bulk).

Output
Raw formation energy   1.47 eV per atom

Cell lengths 3.8776, 3.8776, 4.0533 Å; angles 90.00, 90.00, 90.00 degrees
With the nearest neighbours (Å) after each atom.
Atoms (fractional coordinates):
F (0.0000, 0.0000, 0.5000)  2 Ir 2.03
Ir (0.0000, 0.0000, 0.0000)  4 N 1.94, 2 F 2.03
N (0.5000, 0.0000, 0.0000)  2 Ir 1.94
N (0.0000, 0.5000, 0.0000)  2 Ir 1.94
Re (0.5000, 0.5000, 0.5000)  4 F 2.74, 8 N 2.80

---

# 6
# IrRhNF2

A relaxed IrRhNF2 crystal (GGA-PBEsol, Alexandria via LeMat-Bulk).

Output
Raw formation energy   0.43 eV per atom

Cell lengths 3.6656, 4.2778, 4.2778 Å; angles 90.00, 90.00, 90.00 degrees
With the nearest neighbours (Å) after each atom.
Atoms (fractional coordinates):
F (0.0000, 0.5000, 0.0000)  2 Ir 2.14
F (0.0000, 0.0000, 0.5000)  2 Ir 2.14
Rh (0.5000, 0.5000, 0.5000)  8 F 2.82, 4 N 3.02
N (0.5000, 0.0000, 0.0000)  2 Ir 1.83
Ir (0.0000, 0.0000, 0.0000)  2 N 1.83

---

The lowest raw formation energy belongs to which entry? IrNO2F